Density functional theory data (GGA-PBE) for a relaxed structure of SrHfMg2Bi.

Cell lengths 5.597, 5.597, 5.624 Å; angles 90.00, 90.00, 90.00 degrees
Last column: magnetic moment on the atom in μB.
Sites, in units of the cell vectors:
Mg 0.000 0.500 0.000  0.00
Mg 0.500 0.000 0.000  0.00
Bi 0.000 0.000 0.000  -0.01
Sr 0.500 0.500 0.500  0.02
Hf 0.000 0.000 0.500  0.29

Computed properties:
Crystal system: tetragonal
Volume in A^3/atom: 35.2
Formation energy in eV/f.u.: 2.70